Entry 1:
VASP calculation (GGA-PBE) on a geometry-optimized Sm2ZrNpAs4 structure.

Cell lengths 4.085, 7.067, 7.104 Å; angles 109.14, 90.00, 90.00 degrees
Each line ends with the local moment (μB).
Element x y z (fractional)
Sm (0.500, 0.000, 0.500)  0.03
Sm (0.000, 0.500, 0.500)  0.03
Zr (0.000, 0.000, 0.000)  0.07
Np (0.500, 0.500, 0.000)  3.69
As (0.500, 0.239, 0.233)  -0.03
As (0.500, 0.761, 0.767)  -0.03
As (0.000, 0.248, 0.763)  -0.05
As (0.000, 0.752, 0.237)  -0.05

Its energy relative to the elements is -1.2122 eV/atom. The space group is P2/m (10). Its magnetization is 3.959 μB per cell. Its crystal system is monoclinic.

***

Entry 2:
VASP calculation (GGA-PBE) on a geometry-optimized Pu4CuPd3 structure.

Cell lengths 5.034, 3.338, 9.177 Å; angles 90.00, 90.00, 90.00 degrees
Each line ends with the local moment (μB).
Element x y z (fractional)
Pu (0.500, 0.500, 0.408)  0.37
Pu (0.000, 0.500, 0.920)  0.21
Pu (0.000, 0.000, 0.097)  0.27
Pu (0.500, 0.000, 0.585)  0.41
Cu (0.500, 0.500, 0.100)  0.00
Pd (0.000, 0.500, 0.632)  0.00
Pd (0.000, 0.000, 0.382)  0.00
Pd (0.500, 0.000, 0.875)  0.00

Its energy relative to the elements is 0.1122 eV/atom. The space group is Pmm2 (25). Its magnetization is 1.253 μB per cell. Its crystal system is orthorhombic.

***

Entry 3:
VASP calculation (GGA-PBE) on a geometry-optimized Tl4ZnCl structure.

Cell lengths 6.470, 6.470, 6.470 Å; angles 60.00, 60.00, 60.00 degrees
Element x y z (fractional)
Tl (0.875, 0.375, 0.375)
Tl (0.375, 0.375, 0.875)
Tl (0.375, 0.875, 0.375)
Tl (0.375, 0.375, 0.375)
Zn (0.750, 0.750, 0.750)
Cl (0.000, 0.000, 0.000)

Its raw formation energy is 0.224 eV per formula unit. The space group is F-43m (216). Its magnetization is 0.000 μB per cell. Its crystal system is cubic.

***

Entry 4:
VASP calculation (GGA-PBE) on a geometry-optimized RbTl2SiF6 structure.

Cell lengths 7.053, 7.053, 11.232 Å; angles 71.70, 71.70, 60.00 degrees
Element x y z (fractional)
Rb (0.616, 0.616, 0.151)
Rb (0.384, 0.384, 0.849)
Tl (0.884, 0.884, 0.347)
Tl (0.116, 0.116, 0.653)
Tl (0.778, 0.778, 0.665)
Tl (0.222, 0.222, 0.335)
Si (0.000, 0.000, 0.000)
Si (0.500, 0.500, 0.500)
F (0.761, 0.418, 0.403)
F (0.418, 0.761, 0.403)
F (0.418, 0.418, 0.403)
F (0.239, 0.582, 0.597)
F (0.582, 0.239, 0.597)
F (0.582, 0.582, 0.597)
F (0.802, 0.147, 0.904)
F (0.147, 0.802, 0.904)
F (0.147, 0.147, 0.904)
F (0.198, 0.853, 0.096)
F (0.853, 0.198, 0.096)
F (0.853, 0.853, 0.096)

Its raw formation energy is -24.519 eV per formula unit. The space group is R-3m (166). Its magnetization is 0.044 μB per cell. Its crystal system is trigonal.

***

Entry 5:
VASP calculation (GGA-PBE) on a geometry-optimized TmCu4Tc structure.

Cell lengths 4.960, 4.960, 4.960 Å; angles 60.00, 60.00, 60.00 degrees
Element x y z (fractional)
Tm (0.000, 0.000, 0.000)
Tc (0.250, 0.250, 0.250)
Cu (0.624, 0.624, 0.128)
Cu (0.624, 0.128, 0.624)
Cu (0.624, 0.624, 0.624)
Cu (0.128, 0.624, 0.624)

Its energy relative to the elements is 0.0123 eV/atom. The space group is F-43m (216). Its magnetization is 0.000 μB per cell. Its crystal system is cubic.

***

Entry 6:
VASP calculation (GGA-PBE) on a geometry-optimized Ac5MgAu4 structure.

Cell lengths 3.944, 3.944, 19.821 Å; angles 90.00, 90.00, 90.00 degrees
Element x y z (fractional)
Ac (0.500, 0.500, 0.110)
Ac (0.500, 0.500, 0.304)
Ac (0.500, 0.500, 0.500)
Ac (0.500, 0.500, 0.696)
Ac (0.500, 0.500, 0.890)
Mg (0.000, 0.000, 0.000)
Au (0.000, 0.000, 0.203)
Au (0.000, 0.000, 0.402)
Au (0.000, 0.000, 0.598)
Au (0.000, 0.000, 0.797)

Its energy relative to the elements is -0.6333 eV/atom. The space group is P4/mmm (123). Its magnetization is 0.000 μB per cell. Its crystal system is tetragonal.

***

Entry 7:
VASP calculation (GGA-PBE) on a geometry-optimized La3Nd6Tl structure.

Cell lengths 3.686, 12.625, 15.166 Å; angles 93.66, 90.00, 90.00 degrees
Element x y z (fractional)
La (0.250, 0.100, 0.585)
La (0.750, 0.900, 0.415)
La (0.250, 0.429, 0.315)
La (0.750, 0.571, 0.685)
La (0.250, 0.055, 0.801)
La (0.750, 0.945, 0.199)
Nd (0.250, 0.378, 0.542)
Nd (0.750, 0.622, 0.458)
Nd (0.250, 0.886, 0.996)
Nd (0.750, 0.114, 0.004)
Nd (0.250, 0.811, 0.610)
Nd (0.750, 0.189, 0.390)
Nd (0.250, 0.694, 0.246)
Nd (0.750, 0.306, 0.754)
Nd (0.250, 0.563, 0.899)
Nd (0.750, 0.437, 0.101)
Nd (0.250, 0.207, 0.185)
Nd (0.750, 0.793, 0.815)
Tl (0.250, 0.310, 0.941)
Tl (0.750, 0.690, 0.059)

Its energy relative to the elements is 0.0005 eV/atom. The space group is P2_1/m (11). Its magnetization is 0.000 μB per cell. Its crystal system is monoclinic.

***

Entry 8:
VASP calculation (GGA-PBE) on a geometry-optimized DyAl10Tc2 structure.

Cell lengths 6.903, 6.903, 9.191 Å; angles 90.00, 90.00, 97.08 degrees
Element x y z (fractional)
Dy (0.872, 0.128, 0.750)
Dy (0.128, 0.872, 0.250)
Al (0.408, 0.139, 0.750)
Al (0.592, 0.861, 0.250)
Al (0.861, 0.592, 0.750)
Al (0.139, 0.408, 0.250)
Al (0.527, 0.785, 0.750)
Al (0.473, 0.215, 0.250)
Al (0.215, 0.473, 0.750)
Al (0.785, 0.527, 0.250)
Al (0.849, 0.151, 0.403)
Al (0.151, 0.849, 0.903)
Al (0.849, 0.151, 0.097)
Al (0.151, 0.849, 0.597)
Al (0.625, 0.375, 0.961)
Al (0.375, 0.625, 0.461)
Al (0.625, 0.375, 0.539)
Al (0.375, 0.625, 0.039)
Al (0.773, 0.773, 0.000)
Al (0.227, 0.227, 0.500)
Al (0.227, 0.227, 0.000)
Al (0.773, 0.773, 0.500)
Tc (0.500, 0.000, 0.000)
Tc (0.500, 0.000, 0.500)
Tc (0.000, 0.500, 0.500)
Tc (0.000, 0.500, 0.000)

Its energy relative to the elements is -0.4147 eV/atom. The space group is Cmcm (63). Its magnetization is 0.000 μB per cell. Its crystal system is orthorhombic.

***

Entry 9:
VASP calculation (GGA-PBE) on a geometry-optimized Y3HoBi2 structure.

Cell lengths 4.559, 4.559, 8.616 Å; angles 90.00, 90.00, 90.00 degrees
Element x y z (fractional)
Y (0.500, 0.000, 0.347)
Y (0.000, 0.500, 0.653)
Y (0.000, 0.000, 0.000)
Ho (0.500, 0.500, 0.000)
Bi (0.500, 0.000, 0.717)
Bi (0.000, 0.500, 0.283)

Its energy relative to the elements is -0.6250 eV/atom. The space group is P-4m2 (115). Its magnetization is 0.000 μB per cell. Its crystal system is tetragonal.

***

Entry 10:
VASP calculation (GGA-PBE) on a geometry-optimized Pr2AgRhO6 structure.

Cell lengths 5.867, 5.867, 5.827 Å; angles 59.77, 59.77, 60.00 degrees
Each line ends with the local moment (μB).
Element x y z (fractional)
Pr (0.542, 0.542, 0.375)  0.01
Pr (0.037, 0.037, 0.888)  0.01
Ag (0.803, 0.803, 0.591)  0.18
Rh (0.317, 0.317, 0.049)  0.71
O (0.574, 0.189, 0.256)  0.11
O (0.189, 0.981, 0.256)  0.11
O (0.981, 0.574, 0.256)  0.11
O (0.434, 0.660, 0.781)  0.09
O (0.660, 0.125, 0.781)  0.09
O (0.125, 0.434, 0.781)  0.09

Its raw formation energy is -18.407 eV per formula unit. The space group is R3 (146). Its magnetization is 1.611 μB per cell. Its crystal system is trigonal.

***

Entry 11:
VASP calculation (GGA-PBE) on a geometry-optimized MnCr2I structure.

Cell lengths 4.314, 4.314, 4.314 Å; angles 60.00, 60.00, 60.00 degrees
Each line ends with the local moment (μB).
Element x y z (fractional)
I (0.500, 0.500, 0.500)  0.08
Cr (0.250, 0.250, 0.250)  -0.67
Cr (0.750, 0.750, 0.750)  -0.67
Mn (0.000, 0.000, 0.000)  2.90

Its raw formation energy is 3.427 eV per formula unit. The space group is Fm-3m (225). Its magnetization is 1.737 μB per cell. Its crystal system is cubic.

***

Entry 12:
VASP calculation (GGA-PBE) on a geometry-optimized PmPu5Te6 structure.

Cell lengths 7.689, 7.690, 7.697 Å; angles 60.03, 80.37, 70.44 degrees
Each line ends with the local moment (μB).
Element x y z (fractional)
Pu (0.500, 0.165, 0.669)  -5.49
Pu (0.000, 0.333, 0.334)  -5.49
Pu (0.500, 0.500, 0.000)  5.45
Pu (0.000, 0.667, 0.666)  -5.49
Pu (0.500, 0.835, 0.331)  -5.49
Te (0.749, 0.083, 0.337)  0.05
Te (0.251, 0.581, 0.337)  0.05
Te (0.250, 0.251, 0.000)  0.05
Te (0.750, 0.749, 0.000)  0.05
Te (0.749, 0.419, 0.663)  0.05
Te (0.251, 0.917, 0.663)  0.05
Pm (0.000, 0.000, 0.000)  -0.04

Its raw formation energy is -13.510 eV per formula unit. The space group is C2/m (12). Its magnetization is 17.426 μB per cell. Its crystal system is monoclinic.